Below is a geometry-optimized Cs2K2Ti structure, with properties calculated at the PBE level.

Calculated values
- Excess energy over the best structure of this formula in the dataset: 0 meV per atom
- M_tot: 3.891 μB/f.u.

Cell lengths 9.815, 9.815, 7.094 Å; angles 90.00, 90.00, 90.00 degrees
Element x y z (fractional)
Cs 0.354 0.854 0.000
Cs 0.854 0.646 0.000
Cs 0.646 0.146 0.000
Cs 0.146 0.354 0.000
K 0.187 0.687 0.500
K 0.687 0.813 0.500
K 0.813 0.313 0.500
K 0.313 0.187 0.500
Ti 0.000 0.000 0.000
Ti 0.500 0.500 0.000

---

Below is a geometry-optimized LaEr4Se6 structure, with properties calculated at the PBE level.

Calculated values
- Formation energy from raw total energies: -1.847 eV/atom
- M_tot: 0.000 μB/f.u.

Cell lengths 4.048, 6.947, 20.661 Å; angles 90.00, 90.00, 106.94 degrees
Element x y z (fractional)
La 0.655 0.311 0.250
La 0.345 0.689 0.750
Er 0.860 0.719 0.538
Er 0.408 0.816 0.125
Er 0.140 0.281 0.462
Er 0.592 0.184 0.875
Er 0.860 0.719 0.962
Er 0.140 0.281 0.038
Er 0.592 0.184 0.625
Er 0.408 0.816 0.375
Se 0.500 0.000 0.000
Se 0.500 0.000 0.500
Se 0.046 0.092 0.337
Se 0.954 0.908 0.663
Se 0.954 0.908 0.837
Se 0.046 0.092 0.163
Se 0.767 0.534 0.410
Se 0.233 0.466 0.590
Se 0.233 0.466 0.910
Se 0.767 0.534 0.090
Se 0.322 0.643 0.250
Se 0.678 0.357 0.750

---

Below is a geometry-optimized Sm2Mg3Ag3 structure, with properties calculated at the PBE level.

Calculated values
- Total energy: -3.088 eV/atom
- M_tot: 0.000 μB/f.u.

Cell lengths 5.068, 5.068, 8.724 Å; angles 73.11, 73.11, 60.00 degrees
Element x y z (fractional)
Sm 0.005 0.005 0.986
Sm 0.496 0.496 0.513
Mg 0.247 0.247 0.260
Mg 0.753 0.753 0.742
Mg 0.624 0.624 0.129
Ag 0.128 0.128 0.615
Ag 0.880 0.880 0.361
Ag 0.368 0.368 0.895

---

Below is a geometry-optimized Si2AsIr structure, with properties calculated at the PBE level.

Calculated values
- Formation energy from raw total energies: 0.158 eV/atom
- M_tot: 0.000 μB/f.u.

Cell lengths 4.768, 4.034, 4.766 Å; angles 69.64, 65.74, 110.38 degrees
Element x y z (fractional)
As 0.000 0.500 0.500
Ir 0.500 0.500 0.000
Si 0.000 0.000 0.000
Si 0.500 0.000 0.500

---

Below is a geometry-optimized K3PrSm2Te6 structure, with properties calculated at the PBE level.

Calculated values
- Formation energy from raw total energies: -1.415 eV/atom
- M_tot: 0.000 μB/f.u.

Cell lengths 7.964, 7.964, 8.674 Å; angles 98.81, 98.81, 120.00 degrees
Element x y z (fractional)
K 0.166 0.834 0.500
K 0.834 0.166 0.500
K 0.500 0.500 0.500
Pr 0.000 0.000 0.000
Sm 0.333 0.667 0.000
Sm 0.667 0.333 0.000
Te 0.929 0.591 0.786
Te 0.734 0.734 0.214
Te 0.071 0.409 0.214
Te 0.591 0.929 0.786
Te 0.266 0.266 0.786
Te 0.409 0.071 0.214